1.
Material: SrLaBe2
Method: DFT, GGA-PBE
State: optimized geometry

Lattice parameters (Å, degrees): 5.8703 5.8703 5.8703 136.06 136.06 63.88
With the nearest neighbours (Å) after each atom.
Fractional positions:
Be 0.2500 0.7500 0.5000  4 Sr 3.11, 4 La 3.32, 4 Be 3.32
Be 0.0000 0.0000 0.0000  4 La 3.11, 4 Sr 3.32, 4 Be 3.32
Sr 0.7500 0.2500 0.5000  8 Be 3.11-3.32, 4 La 3.32
La 0.5000 0.5000 0.0000  8 Be 3.11-3.32, 4 Sr 3.32

The formation energy from the elements comes out at 0.66 eV per atom.



2.
Material: SrLaBe2
Method: DFT, GGA-PBE
State: optimized geometry

Lattice parameters (Å, degrees): 5.0239 5.0239 5.0239 60.00 60.00 60.00
With the nearest neighbours (Å) after each atom.
Fractional positions:
Be 0.0000 0.0000 0.0000  4 Sr 3.08, 4 Be 3.08
Be 0.2500 0.2500 0.2500  4 Be 3.08, 4 La 3.08
La 0.5000 0.5000 0.5000  4 Be 3.08, 4 Sr 3.08
Sr 0.7500 0.7500 0.7500  4 La 3.08, 4 Be 3.08

The formation energy from the elements comes out at 0.70 eV per atom.



3.
Material: SrLaBe2
Method: DFT, GGA-PBE
State: optimized geometry

Lattice parameters (Å, degrees): 3.2567 3.2575 8.8846 90.00 90.00 90.00
With the nearest neighbours (Å) after each atom.
Fractional positions:
Sr 0.5000 0.5000 0.8235  5 Be 3.13-3.25, 4 Sr 3.26
Be 0.0000 0.0000 0.0821  4 Be 2.45
Be 0.5000 0.5000 0.1758  4 Be 2.45
La 0.0000 0.0000 0.4186  5 Be 2.99-3.16, 4 La 3.26

The formation energy from the elements comes out at 0.49 eV per atom.



4.
Material: SrLaBe2
Method: DFT, GGA-PBE
State: optimized geometry

Lattice parameters (Å, degrees): 4.0559 3.7308 7.4140 75.46 90.00 90.00
With the nearest neighbours (Å) after each atom.
Fractional positions:
La 0.0000 0.4948 0.3856  6 Be 2.87-3.09
Be 0.5000 0.0922 0.1909  2 Be 2.18
Be 0.0000 0.1470 0.0813  2 Be 2.18
Sr 0.5000 0.7660 0.8422  6 Be 3.12-3.25

The formation energy from the elements comes out at 0.29 eV per atom.



5.
Material: SrLa4Be
Method: DFT, GGA-PBE
State: optimized geometry

Lattice parameters (Å, degrees): 6.7174 6.7174 6.7174 60.00 60.00 60.00
With the nearest neighbours (Å) after each atom.
Fractional positions:
La 0.8876 0.3708 0.3708  6 La 3.25-3.47
La 0.3708 0.3708 0.3708  6 La 3.25-3.47
La 0.3708 0.3708 0.8876  6 La 3.25-3.47
La 0.3708 0.8876 0.3708  6 La 3.25-3.47
Be 0.0000 0.0000 0.0000  12 La 3.93, 4 Sr 4.11
Sr 0.7500 0.7500 0.7500  12 La 3.95, 4 Be 4.11

The formation energy from the elements comes out at 0.60 eV per atom.



6.
Material: SrLaBe2
Method: DFT, GGA-PBE
State: optimized geometry

Lattice parameters (Å, degrees): 5.1903 5.1903 5.1903 60.00 60.00 60.00
With the nearest neighbours (Å) after each atom.
Fractional positions:
Sr 0.0000 0.0000 0.0000  8 Be 3.18
La 0.5000 0.5000 0.5000  8 Be 3.18
Be 0.2500 0.2500 0.2500  4 La 3.18, 4 Sr 3.18
Be 0.7500 0.7500 0.7500  4 La 3.18, 4 Sr 3.18

The formation energy from the elements comes out at 0.40 eV per atom.



7.
Material: SrLaBe
Method: DFT, GGA-PBE
State: optimized geometry

Lattice parameters (Å, degrees): 7.4127 7.4131 3.6948 75.56 75.57 28.86
With the nearest neighbours (Å) after each atom.
Fractional positions:
La 0.3779 0.3779 0.6221  4 Be 3.04
Be 0.9897 0.9897 0.0103  4 La 3.04, 4 Sr 3.28
Sr 0.6323 0.6323 0.3677  4 Be 3.28, 1 La 3.53

The formation energy from the elements comes out at 0.26 eV per atom.



8.
Material: SrLaBe2
Method: DFT, GGA-PBE
State: optimized geometry

Lattice parameters (Å, degrees): 6.0708 6.0708 5.0435 65.45 65.45 33.57
With the nearest neighbours (Å) after each atom.
Fractional positions:
La 0.4715 0.4715 0.5284  8 Be 3.21-3.42, 2 Sr 3.25, 2 La 3.51
Sr 0.2757 0.2757 0.2243  8 Be 3.20-3.47, 2 La 3.25, 2 Sr 3.51
Be 0.6906 0.6906 0.8095  2 Be 2.21
Be 0.0621 0.0621 0.9378  2 Be 2.21

The formation energy from the elements comes out at 0.37 eV per atom.



9.
Material: LaTa2Be
Method: DFT, GGA-PBE
State: optimized geometry

Lattice parameters (Å, degrees): 5.4111 5.4111 5.4111 134.80 134.80 65.84
With the nearest neighbours (Å) after each atom.
Fractional positions:
Ta 0.5000 0.5000 0.0000  4 Ta 2.94, 4 La 3.08, 4 Be 3.08
Ta 0.0000 0.0000 0.0000  4 Ta 2.94, 4 Be 3.08, 4 La 3.08
La 0.7500 0.2500 0.5000  4 Be 2.94, 8 Ta 3.08
Be 0.2500 0.7500 0.5000  4 La 2.94, 8 Ta 3.08

The formation energy from the elements comes out at 0.67 eV per atom.



10.
Material: LaTa4Be
Method: DFT, GGA-PBE
State: optimized geometry

Lattice parameters (Å, degrees): 5.6322 5.6322 5.6322 60.00 60.00 60.00
With the nearest neighbours (Å) after each atom.
Fractional positions:
Ta 0.3741 0.8777 0.3741  6 Ta 2.80-2.84
Ta 0.3741 0.3741 0.8777  6 Ta 2.80-2.84
Ta 0.8777 0.3741 0.3741  6 Ta 2.80-2.84
Ta 0.3741 0.3741 0.3741  6 Ta 2.80-2.84
La 0.0000 0.0000 0.0000  12 Ta 3.30, 4 Be 3.45
Be 0.7500 0.7500 0.7500  12 Ta 3.30, 4 La 3.45

The formation energy from the elements comes out at 0.69 eV per atom.



11.
Material: LaTa2Be
Method: DFT, GGA-PBE
State: optimized geometry

Lattice parameters (Å, degrees): 3.3444 4.8917 4.7488 90.00 90.00 90.00
With the nearest neighbours (Å) after each atom.
Fractional positions:
Be 0.5000 0.0000 0.5000  4 Ta 2.90, 4 La 2.96
La 0.0000 0.5000 0.5000  4 Ta 2.90, 4 Be 2.96
Ta 0.5000 0.5000 0.0000  4 La 2.90, 4 Ta 2.96
Ta 0.0000 0.0000 0.0000  4 Be 2.90, 4 Ta 2.96

The formation energy from the elements comes out at 0.62 eV per atom.



12.
Material: LaTa3Be
Method: DFT, GGA-PBE
State: optimized geometry

Lattice parameters (Å, degrees): 4.8776 4.8776 4.8776 90.00 90.00 90.00
With the nearest neighbours (Å) after each atom.
Fractional positions:
Ta 0.0000 0.5000 0.0000  2 La 2.44
Ta 0.5000 0.0000 0.0000  2 La 2.44
Ta 0.0000 0.0000 0.5000  2 La 2.44
La 0.0000 0.0000 0.0000  6 Ta 2.44
Be 0.5000 0.5000 0.5000  12 Ta 3.45

The formation energy from the elements comes out at 2.56 eV per atom.



Q: What is the formula in the sixth record?
A: SrLaBe2